No. 1
DFT (GGA-PBE) results for crystalline ZrZnCoNi at its relaxed geometry.

DOS at the Fermi energy	0.74	states/eV per atom
formation enthalpy at 0 K	-0.31	eV/atom

The structure in CIF format:
```
data_ZrZnCoNi
_cell_length_a 4.307
_cell_length_b 4.307
_cell_length_c 4.307
_cell_angle_alpha 60.00
_cell_angle_beta 60.00
_cell_angle_gamma 60.00
_space_group_name_H-M_alt 'P 1'
_space_group_IT_number 1
_space_group_name_Hall 'P 1'
loop_
_atom_site_label
_atom_site_fract_x
_atom_site_fract_y
_atom_site_fract_z
Zn1 0.250 0.250 0.250
Zr1 0.750 0.750 0.750
Co1 0.500 0.500 0.500
Ni1 0.000 0.000 0.000
```

***

No. 2
DFT (GGA-PBE) results for crystalline ZrCoNi at its relaxed geometry.

DOS at the Fermi energy	1.26	states/eV per atom
formation enthalpy at 0 K	-0.36	eV/atom

The structure in CIF format:
```
data_ZrCoNi
_cell_length_a 4.909
_cell_length_b 4.909
_cell_length_c 4.909
_cell_angle_alpha 120.60
_cell_angle_beta 119.56
_cell_angle_gamma 89.86
_space_group_name_H-M_alt 'P 1'
_space_group_IT_number 1
_space_group_name_Hall 'P 1'
loop_
_atom_site_label
_atom_site_fract_x
_atom_site_fract_y
_atom_site_fract_z
Co1 0.500 0.500 0.000
Co2 0.000 0.500 0.500
Ni1 0.500 0.500 0.500
Ni2 0.500 0.000 0.000
Zr1 0.124 0.874 0.250
Zr2 0.876 0.126 0.750
```

***

No. 3
DFT (GGA-PBE) results for crystalline Zr2CoNi at its relaxed geometry.

DOS at the Fermi energy	1.04	states/eV per atom
formation enthalpy at 0 K	-0.31	eV/atom

The structure in CIF format:
```
data_Zr2CoNi
_cell_length_a 3.188
_cell_length_b 4.531
_cell_length_c 4.531
_cell_angle_alpha 90.00
_cell_angle_beta 90.00
_cell_angle_gamma 90.00
_space_group_name_H-M_alt 'P 1'
_space_group_IT_number 1
_space_group_name_Hall 'P 1'
loop_
_atom_site_label
_atom_site_fract_x
_atom_site_fract_y
_atom_site_fract_z
Zr1 0.000 0.500 0.000
Zr2 0.000 0.000 0.500
Co1 0.500 0.500 0.500
Ni1 0.500 0.000 0.000
```

***

No. 4
DFT (GGA-PBE) results for crystalline ZrCo2Ni4 at its relaxed geometry.

DOS at the Fermi energy	1.23	states/eV per atom
formation enthalpy at 0 K	-0.20	eV/atom

The structure in CIF format:
```
data_ZrCo2Ni4
_cell_length_a 4.676
_cell_length_b 4.903
_cell_length_c 4.903
_cell_angle_alpha 76.79
_cell_angle_beta 61.46
_cell_angle_gamma 61.46
_space_group_name_H-M_alt 'P 1'
_space_group_IT_number 1
_space_group_name_Hall 'P 1'
loop_
_atom_site_label
_atom_site_fract_x
_atom_site_fract_y
_atom_site_fract_z
Ni1 0.305 0.391 0.000
Ni2 0.305 0.000 0.391
Ni3 0.695 0.000 0.609
Ni4 0.695 0.609 0.000
Co1 0.250 0.500 0.500
Co2 0.750 0.500 0.500
Zr1 0.000 0.000 0.000
```

***

No. 5
DFT (GGA-PBE) results for crystalline Zr2CoNi at its relaxed geometry.

DOS at the Fermi energy	0.84	states/eV per atom
formation enthalpy at 0 K	-0.35	eV/atom

The structure in CIF format:
```
data_Zr2CoNi
_cell_length_a 5.085
_cell_length_b 5.195
_cell_length_c 5.294
_cell_angle_alpha 78.47
_cell_angle_beta 75.03
_cell_angle_gamma 82.37
_space_group_name_H-M_alt 'P 1'
_space_group_IT_number 1
_space_group_name_Hall 'P 1'
loop_
_atom_site_label
_atom_site_fract_x
_atom_site_fract_y
_atom_site_fract_z
Ni1 0.546 0.099 0.327
Ni2 0.437 0.511 0.010
Zr1 0.640 0.996 0.839
Zr2 0.068 0.878 0.267
Zr3 0.988 0.435 0.893
Zr4 0.559 0.549 0.475
Co1 0.180 0.925 0.738
Co2 0.060 0.335 0.413
```

***

No. 6
DFT (GGA-PBE) results for crystalline Zr2CoNi at its relaxed geometry.

DOS at the Fermi energy	1.00	states/eV per atom
formation enthalpy at 0 K	-0.31	eV/atom

The structure in CIF format:
```
data_Zr2CoNi
_cell_length_a 4.531
_cell_length_b 4.531
_cell_length_c 4.531
_cell_angle_alpha 60.00
_cell_angle_beta 60.00
_cell_angle_gamma 60.00
_space_group_name_H-M_alt 'P 1'
_space_group_IT_number 1
_space_group_name_Hall 'P 1'
loop_
_atom_site_label
_atom_site_fract_x
_atom_site_fract_y
_atom_site_fract_z
Ni1 0.500 0.500 0.500
Co1 0.000 0.000 0.000
Zr1 0.250 0.250 0.250
Zr2 0.750 0.750 0.750
```

***

No. 7
DFT (GGA-PBE) results for crystalline ZrCo2Ni2 at its relaxed geometry.

DOS at the Fermi energy	0.76	states/eV per atom
formation enthalpy at 0 K	-0.09	eV/atom

The structure in CIF format:
```
data_ZrCo2Ni2
_cell_length_a 3.485
_cell_length_b 3.485
_cell_length_c 6.112
_cell_angle_alpha 73.43
_cell_angle_beta 73.43
_cell_angle_gamma 90.00
_space_group_name_H-M_alt 'P 1'
_space_group_IT_number 1
_space_group_name_Hall 'P 1'
loop_
_atom_site_label
_atom_site_fract_x
_atom_site_fract_y
_atom_site_fract_z
Co1 0.750 0.250 0.500
Co2 0.250 0.750 0.500
Zr1 0.000 0.000 0.000
Ni1 0.397 0.397 0.206
Ni2 0.603 0.603 0.794
```

***

No. 8
DFT (GGA-PBE) results for crystalline ZrCo4Ni at its relaxed geometry.

DOS at the Fermi energy	1.20	states/eV per atom
formation enthalpy at 0 K	0.20	eV/atom

The structure in CIF format:
```
data_ZrCo4Ni
_cell_length_a 4.708
_cell_length_b 4.708
_cell_length_c 6.923
_cell_angle_alpha 46.94
_cell_angle_beta 133.06
_cell_angle_gamma 121.04
_space_group_name_H-M_alt 'P 1'
_space_group_IT_number 1
_space_group_name_Hall 'P 1'
loop_
_atom_site_label
_atom_site_fract_x
_atom_site_fract_y
_atom_site_fract_z
Co1 0.685 0.815 0.783
Co2 0.500 0.500 0.500
Co3 0.000 0.000 0.500
Co4 0.315 0.185 0.217
Ni1 0.000 0.500 0.500
Zr1 0.500 0.000 0.000
```

***

No. 9
DFT (GGA-PBE) results for crystalline ZrCo2Ni2 at its relaxed geometry.

DOS at the Fermi energy	1.73	states/eV per atom
formation enthalpy at 0 K	-0.02	eV/atom

The structure in CIF format:
```
data_ZrCo2Ni2
_cell_length_a 6.961
_cell_length_b 6.961
_cell_length_c 2.682
_cell_angle_alpha 90.00
_cell_angle_beta 90.00
_cell_angle_gamma 90.00
_space_group_name_H-M_alt 'P 1'
_space_group_IT_number 1
_space_group_name_Hall 'P 1'
loop_
_atom_site_label
_atom_site_fract_x
_atom_site_fract_y
_atom_site_fract_z
Zr1 0.500 0.500 0.000
Zr2 0.000 0.000 0.000
Co1 0.670 0.830 0.500
Co2 0.830 0.330 0.500
Co3 0.330 0.170 0.500
Co4 0.170 0.670 0.500
Ni1 0.876 0.624 0.000
Ni2 0.124 0.376 0.000
Ni3 0.624 0.124 0.000
Ni4 0.376 0.876 0.000
```

***

No. 10
DFT (GGA-PBE) results for crystalline ZrCoNi at its relaxed geometry.

DOS at the Fermi energy	0.77	states/eV per atom
formation enthalpy at 0 K	0.38	eV/atom

The structure in CIF format:
```
data_ZrCoNi
_cell_length_a 4.160
_cell_length_b 4.160
_cell_length_c 4.160
_cell_angle_alpha 60.00
_cell_angle_beta 60.00
_cell_angle_gamma 60.00
_space_group_name_H-M_alt 'P 1'
_space_group_IT_number 1
_space_group_name_Hall 'P 1'
loop_
_atom_site_label
_atom_site_fract_x
_atom_site_fract_y
_atom_site_fract_z
Ni1 0.500 0.500 0.500
Co1 0.000 0.000 0.000
Zr1 0.750 0.750 0.750
```

***

No. 11
DFT (GGA-PBE) results for crystalline ZrCoNi at its relaxed geometry.

DOS at the Fermi energy	1.52	states/eV per atom
formation enthalpy at 0 K	0.11	eV/atom

The structure in CIF format:
```
data_ZrCoNi
_cell_length_a 4.110
_cell_length_b 4.110
_cell_length_c 4.110
_cell_angle_alpha 60.00
_cell_angle_beta 60.00
_cell_angle_gamma 60.00
_space_group_name_H-M_alt 'P 1'
_space_group_IT_number 1
_space_group_name_Hall 'P 1'
loop_
_atom_site_label
_atom_site_fract_x
_atom_site_fract_y
_atom_site_fract_z
Zr1 0.000 0.000 0.000
Ni1 0.750 0.750 0.750
Co1 0.500 0.500 0.500
```

***

No. 12
DFT (GGA-PBE) results for crystalline Zr2CoNi at its relaxed geometry.

DOS at the Fermi energy	0.82	states/eV per atom
formation enthalpy at 0 K	-0.40	eV/atom

The structure in CIF format:
```
data_Zr2CoNi
_cell_length_a 5.256
_cell_length_b 5.256
_cell_length_c 5.198
_cell_angle_alpha 101.63
_cell_angle_beta 78.37
_cell_angle_gamma 77.84
_space_group_name_H-M_alt 'P 1'
_space_group_IT_number 1
_space_group_name_Hall 'P 1'
loop_
_atom_site_label
_atom_site_fract_x
_atom_site_fract_y
_atom_site_fract_z
Co1 0.885 0.497 0.020
Co2 0.383 0.994 0.020
Ni1 0.564 0.316 0.358
Ni2 0.034 0.846 0.356
Zr1 0.029 0.369 0.472
Zr2 0.511 0.851 0.472
Zr3 0.909 0.970 0.908
Zr4 0.413 0.467 0.915
```